No. 1
Below is a crystal of BaSr2Ca relaxed with PBEsol, with properties calculated at the meta-GGA SCAN level.

The formation energy comes out at 0.035 eV per atom. Its offset from the most stable computed form is 0.0086 eV/atom. Its density of states at the Fermi level is 4.13 states/eV per cell.

a = 4.1524 Å, b = 4.1524 Å, c = 13.7593 Å
α = 81.32°, β = 81.32°, γ = 60.00°
With the nearest neighbours (Å) after each atom.
Fractional coordinates of all 4 atoms:
1 Sr 0.2539 0.2539 0.2382  3 Ca 4.02, 6 Sr 4.15, 3 Ba 4.28
2 Sr 0.7461 0.7461 0.7618  3 Ca 4.02, 6 Sr 4.15, 3 Ba 4.28
3 Ca 0.0000 0.0000 0.0000  6 Sr 4.02, 6 Ca 4.15
4 Ba 0.5000 0.5000 0.5000  6 Ba 4.15, 6 Sr 4.28

***

No. 2
Below is a crystal of YTa2B relaxed with PBEsol, with properties calculated at the meta-GGA SCAN level.

The formation energy comes out at 0.962 eV per atom. Its density of states at the Fermi level is 7.89 states/eV per cell.

a = 6.3891 Å, b = 6.4212 Å, c = 6.3891 Å
α = 60.17°, β = 90.00°, γ = 119.83°
With the nearest neighbours (Å) after each atom.
Fractional coordinates of all 8 atoms:
1 Y 0.7500 0.5000 0.7500  8 Ta 3.50-3.79
2 Y 0.0000 0.0000 0.0000  8 Ta 3.50-3.79
3 B 0.2500 0.5000 0.2500  4 Ta 1.99
4 B 0.5000 0.0000 0.5000  4 Ta 1.99
5 Ta 0.4218 0.7500 0.3750  2 B 1.99
6 Ta 0.3282 0.7500 0.8750  2 B 1.99
7 Ta 0.8750 0.2500 0.4218  2 B 1.99
8 Ta 0.3750 0.2500 0.3282  2 B 1.99

***

No. 3
Below is a crystal of NdCd3 relaxed with PBEsol, with properties calculated at the meta-GGA SCAN level.

The formation energy comes out at -0.380 eV per atom. Its density of states at the Fermi level is 1.23 states/eV per cell.

a = 5.0596 Å, b = 5.0596 Å, c = 5.0596 Å
α = 60.00°, β = 60.00°, γ = 60.00°
With the nearest neighbours (Å) after each atom.
Fractional coordinates of all 4 atoms:
1 Nd 0.0000 0.0000 0.0000  8 Cd 3.10
2 Cd 0.5000 0.5000 0.5000  8 Cd 3.10
3 Cd 0.2500 0.2500 0.2500  4 Cd 3.10, 4 Nd 3.10
4 Cd 0.7500 0.7500 0.7500  4 Cd 3.10, 4 Nd 3.10

***

No. 4
Below is a crystal of YTa2Zn relaxed with PBEsol, with properties calculated at the meta-GGA SCAN level.

The formation energy comes out at 0.242 eV per atom. Its density of states at the Fermi level is 4.30 states/eV per cell.

a = 4.7326 Å, b = 4.7326 Å, c = 4.7326 Å
α = 60.00°, β = 60.00°, γ = 60.00°
With the nearest neighbours (Å) after each atom.
Fractional coordinates of all 4 atoms:
1 Ta 0.0000 0.0000 0.0000  4 Zn 2.90, 4 Ta 2.90
2 Ta 0.2500 0.2500 0.2500  4 Ta 2.90, 4 Y 2.90
3 Y 0.5000 0.5000 0.5000  4 Ta 2.90, 4 Zn 2.90
4 Zn 0.7500 0.7500 0.7500  4 Y 2.90, 4 Ta 2.90

***

No. 5
Below is a crystal of LiCa3Hf relaxed with PBEsol, with properties calculated at the meta-GGA SCAN level.

The formation energy comes out at 0.926 eV per atom. Its density of states at the Fermi level is 5.52 states/eV per cell.

a = 5.9849 Å, b = 5.9849 Å, c = 5.9849 Å
α = 90.00°, β = 90.00°, γ = 90.00°
With the nearest neighbours (Å) after each atom.
Fractional coordinates of all 5 atoms:
1 Ca 0.0000 0.5000 0.0000  2 Hf 2.99
2 Ca 0.0000 0.0000 0.5000  2 Hf 2.99
3 Ca 0.5000 0.0000 0.0000  2 Hf 2.99
4 Hf 0.0000 0.0000 0.0000  6 Ca 2.99
5 Li 0.5000 0.5000 0.5000  12 Ca 4.23

***

No. 6
Below is a crystal of BaCeC2O6F relaxed with PBEsol, with properties calculated at the meta-GGA SCAN level.

As for the uncorrected formation energy: -2.68 eV/atom.

a = 5.0529 Å, b = 5.0529 Å, c = 12.9358 Å
α = 78.74°, β = 78.74°, γ = 60.00°
With the nearest neighbours (Å) after each atom.
Fractional coordinates of all 22 atoms:
1 O 0.7461 0.1883 0.3195  1 C 1.29
2 O 0.1883 0.7461 0.3195  1 C 1.29
3 O 0.7461 0.7461 0.3195  1 C 1.29
4 O 0.2539 0.2539 0.6805  1 C 1.29
5 O 0.2539 0.8117 0.6805  1 C 1.29
6 O 0.8117 0.2539 0.6805  1 C 1.29
7 O 0.4797 0.9224 0.1181  1 C 1.29
8 O 0.9224 0.4797 0.1181  1 C 1.29
9 O 0.4797 0.4797 0.1181  1 C 1.29
10 O 0.5203 0.5203 0.8819  1 C 1.29
11 O 0.5203 0.0776 0.8819  1 C 1.29
12 O 0.0776 0.5203 0.8819  1 C 1.29
13 C 0.8926 0.8926 0.3223  3 O 1.29
14 C 0.1074 0.1074 0.6777  3 O 1.29
15 C 0.6265 0.6265 0.1206  3 O 1.29
16 C 0.3735 0.3735 0.8794  3 O 1.29
17 Ba 0.0000 0.0000 0.0000  12 O 2.94, 6 C 3.29
18 Ba 0.5000 0.5000 0.5000  6 O 2.80, 6 F 2.99
19 Ce 0.7553 0.7553 0.7342  1 F 2.31, 3 O 2.47
20 Ce 0.2447 0.2447 0.2658  1 F 2.31, 3 O 2.47
21 F 0.8163 0.8163 0.5511  1 Ce 2.31
22 F 0.1837 0.1837 0.4489  1 Ce 2.31

***

No. 7
Below is a crystal of ReAsSe2 relaxed with PBEsol, with properties calculated at the meta-GGA SCAN level.

As for the uncorrected formation energy: 0.36 eV/atom. Its density of states at the Fermi level is 1.94 states/eV per cell.

a = 3.0259 Å, b = 4.3795 Å, c = 6.3795 Å
α = 110.07°, β = 103.72°, γ = 90.00°
With the nearest neighbours (Å) after each atom.
Fractional coordinates of all 4 atoms:
1 Re 0.2636 0.7636 0.5271  6 Se 2.49-2.70, 2 As 2.61
2 As 0.5798 0.5798 0.1596  2 Re 2.61, 2 Se 2.75
3 Se 0.9339 0.9339 0.8678  2 Re 2.49
4 Se 0.7227 0.2227 0.4455  4 Re 2.70, 2 As 2.75, 2 Se 3.03

***

No. 8
Below is a crystal of Cu4Pt7 relaxed with PBEsol, with properties calculated at the meta-GGA SCAN level.

The formation energy comes out at -0.103 eV per atom. Its offset from the most stable computed form is 0.0203 eV/atom. Its density of states at the Fermi level is 10.72 states/eV per cell.

a = 4.6677 Å, b = 4.6650 Å, c = 7.1300 Å
α = 96.19°, β = 90.08°, γ = 99.72°
With the nearest neighbours (Å) after each atom.
Fractional coordinates of all 11 atoms:
1 Cu 0.9997 0.9990 0.9973  8 Pt 2.61-2.72, 4 Cu 2.67-2.70
2 Cu 0.4564 0.7258 0.9095  8 Pt 2.63-2.69, 4 Cu 2.67-2.70
3 Cu 0.9073 0.4567 0.8191  7 Pt 2.62-2.70, 5 Cu 2.67-2.70
4 Cu 0.7277 0.3641 0.4561  11 Pt 2.67-2.76, 1 Cu 2.69
5 Pt 0.3623 0.1831 0.7316  6 Pt 2.62-2.71, 6 Cu 2.66-2.71
6 Pt 0.8147 0.9083 0.6464  6 Cu 2.61-2.73, 6 Pt 2.69-2.78
7 Pt 0.2672 0.6342 0.5534  4 Cu 2.64-2.72, 8 Pt 2.67-2.81
8 Pt 0.1843 0.0967 0.3642  3 Cu 2.68-2.72, 9 Pt 2.68-2.77
9 Pt 0.6407 0.8165 0.2681  4 Cu 2.66-2.72, 8 Pt 2.68-2.79
10 Pt 0.0909 0.5477 0.1713  5 Cu 2.62-2.76, 7 Pt 2.68-2.81
11 Pt 0.5487 0.2679 0.0831  6 Pt 2.62-2.73, 6 Cu 2.64-2.75

***

No. 9
Below is a crystal of BaCu2As relaxed with PBEsol, with properties calculated at the meta-GGA SCAN level.

The formation energy comes out at 0.037 eV per atom. Its density of states at the Fermi level is 1.23 states/eV per cell.

a = 3.3277 Å, b = 3.3277 Å, c = 7.1530 Å
α = 90.00°, β = 90.00°, γ = 90.00°
With the nearest neighbours (Å) after each atom.
Fractional coordinates of all 4 atoms:
1 As 0.0000 0.0000 0.4162  5 Cu 2.38-2.65
2 Ba 0.5000 0.5000 0.7554  6 Cu 3.33-3.66, 4 Ba 3.33, 4 As 3.38
3 Cu 0.0000 0.0000 0.0840  1 As 2.38, 4 Cu 2.62
4 Cu 0.5000 0.5000 0.2444  4 Cu 2.62, 4 As 2.65

***

No. 10
Below is a crystal of YHfGa2 relaxed with PBEsol, with properties calculated at the meta-GGA SCAN level.

The formation energy comes out at -0.457 eV per atom. Its density of states at the Fermi level is 2.92 states/eV per cell.

a = 4.8168 Å, b = 4.8168 Å, c = 4.8168 Å
α = 60.00°, β = 60.00°, γ = 60.00°
With the nearest neighbours (Å) after each atom.
Fractional coordinates of all 4 atoms:
1 Y 0.0000 0.0000 0.0000  8 Ga 2.95
2 Hf 0.5000 0.5000 0.5000  8 Ga 2.95
3 Ga 0.2500 0.2500 0.2500  4 Hf 2.95, 4 Y 2.95
4 Ga 0.7500 0.7500 0.7500  4 Hf 2.95, 4 Y 2.95

***

No. 11
Below is a crystal of Sc2Si2Ni relaxed with PBEsol, with properties calculated at the meta-GGA SCAN level.

As for the uncorrected formation energy: -0.83 eV/atom. Its density of states at the Fermi level is 4.18 states/eV per cell.

a = 4.2044 Å, b = 6.0864 Å, c = 6.0864 Å
α = 90.00°, β = 90.00°, γ = 90.00°
With the nearest neighbours (Å) after each atom.
Fractional coordinates of all 10 atoms:
1 Sc 0.5000 0.1703 0.6703  6 Si 2.66-2.84, 1 Sc 2.93
2 Sc 0.5000 0.6703 0.8297  6 Si 2.66-2.84, 1 Sc 2.93
3 Sc 0.5000 0.8297 0.3297  6 Si 2.66-2.84, 1 Sc 2.93
4 Sc 0.5000 0.3297 0.1703  6 Si 2.66-2.84, 1 Sc 2.93
5 Ni 0.0000 0.0000 0.0000  4 Si 2.35
6 Ni 0.0000 0.5000 0.5000  4 Si 2.35
7 Si 0.0000 0.3591 0.8591  2 Ni 2.35, 1 Si 2.43
8 Si 0.0000 0.8591 0.6409  2 Ni 2.35, 1 Si 2.43
9 Si 0.0000 0.6409 0.1409  2 Ni 2.35, 1 Si 2.43
10 Si 0.0000 0.1409 0.3591  2 Ni 2.35, 1 Si 2.43

***

No. 12
Below is a crystal of Si2MoAu relaxed with PBEsol, with properties calculated at the meta-GGA SCAN level.

As for the uncorrected formation energy: 0.16 eV/atom. Its offset from the most stable computed form is 0.1152 eV/atom. Its density of states at the Fermi level is 1.04 states/eV per cell.

a = 3.9116 Å, b = 3.9116 Å, c = 4.7195 Å
α = 114.48°, β = 114.48°, γ = 90.00°
With the nearest neighbours (Å) after each atom.
Fractional coordinates of all 4 atoms:
1 Au 0.5000 0.5000 0.0000  8 Si 2.74, 4 Mo 2.77
2 Mo 0.0000 0.0000 0.0000  8 Si 2.74, 4 Au 2.77
3 Si 0.7500 0.2500 0.5000  4 Mo 2.74, 4 Au 2.74, 4 Si 2.77
4 Si 0.2500 0.7500 0.5000  4 Mo 2.74, 4 Au 2.74, 4 Si 2.77

***

Ordered calculated volume results: 50.6; 23.3; 22.9; 18.7; 42.9; 12.7; 19.2; 13.8; 19.8; 19.8; 15.6; 14.6; unit A^3/atom.
Ordered total magnetization results: 0.066; 0.000; 0.000; 0.000; 0.592; 0.091; 0.000; 0.000; 0.000; 0.000; 0.000; 0.181; unit μB/atom.